VASP calculation (PBE) on Rb2ZrIO6 after structural relaxation.

Calculated values
Uncorrected energy   -5.761 eV per atom
DOS at the Fermi energy   2.24 states/eV/cell
Spin magnetization   0.000 μB/f.u.
Formation energy (no corrections)   -1.58 eV per atom

The structure in extended XYZ format:
```
10
Lattice="0.000 4.175 4.175 4.175 0.000 4.175 4.175 4.175 0.000" Properties=species:S:1:pos:R:3 pbc="T T T"
Rb 2.088 2.088 2.088
Rb 6.263 6.263 6.263
Zr 0.000 0.000 0.000
I 4.175 4.175 4.175
O 4.175 4.175 2.141
O 4.175 2.141 4.175
O 6.210 4.175 4.175
O 2.141 4.175 4.175
O 4.175 6.210 4.175
O 4.175 4.175 6.210
```